(1)
# La7SmY4

A geometry-optimized La7SmY4 structure (PBE, the Alexandria database).

The structure belongs to space group P-1 (No. 2); the cell edges are 6.3459, 7.0882 and 10.1071 Å and the angles 69.81°, 87.80° and 89.98°. The distinct sites, in fractional coordinates, are La at (0.0000, 0.0000, 0.0000), La at (0.1900, 0.7087, 0.5895), La at (0.2548, 0.5325, 0.9333), La at (0.2732, 0.1892, 0.6277), Sm at (0.5000, 0.0000, 0.0000), Y at (0.2729, 0.5990, 0.2761) and Y at (0.2763, 0.1242, 0.2762).

The calculation puts the density of states at the Fermi level at 1.960 states/eV/atom. Its spin magnetization is 0.000 μB/f.u. The value obtained for the formation energy is 0.126 eV/atom. The value obtained for the raw total energy is -63.6 eV per cell.

***

(2)
# La5Sm2Y5

A geometry-optimized La5Sm2Y5 structure (PBE, the Alexandria database).

The structure belongs to space group C2/m (No. 12); the cell edges are 17.3792, 5.8110 and 10.0213 Å and the angles 90.00°, 125.12° and 90.00°. The distinct sites, in fractional coordinates, are La at (0.0000, 0.0000, 0.0000), La at (0.1211, 0.0000, 0.7841), La at (0.2481, 0.0000, 0.2516), Sm at (0.1224, 0.0000, 0.4572), Y at (0.0000, 0.5000, 0.5000), Y at (0.1240, 0.5000, 0.9555) and Y at (0.1249, 0.5000, 0.2945).

The calculation puts the density of states at the Fermi level at 1.578 states/eV/atom. Its spin magnetization is 0.000 μB/f.u. The value obtained for the formation energy is 0.059 eV/atom. The value obtained for the raw total energy is -131.4 eV per cell.

***

(3)
# La5Sm4Y2

A geometry-optimized La5Sm4Y2 structure (PBE, the Alexandria database).

The structure belongs to space group Immm (No. 71); the cell edges are 3.5627, 9.3963 and 23.9457 Å and the angles 90.00°, 90.00° and 90.00°. The distinct sites, in fractional coordinates, are La at (0.0000, 0.0000, 0.0000), La at (0.0000, 0.2988, 0.3521), Sm at (0.0000, 0.1926, 0.5000), Sm at (0.0000, 0.5000, 0.0968) and Y at (0.0000, 0.5000, 0.2304).

The calculation puts the density of states at the Fermi level at 1.613 states/eV/atom. Its spin magnetization is 0.000 μB/f.u. The value obtained for the formation energy is 0.194 eV/atom. Its distance to the lowest polymorph of the same formula is 1.367 eV/f.u. The value obtained for the raw total energy is -108.6 eV per cell.

***

- What is the formula in the second record?
  La5Sm2Y5